Record 1
Mn2AlTcH | GGA-PBE | optimized geometry

Results
Distance to the lowest polymorph of the same formula ... 77.6 meV per atom
VASP energy ... -7.1839 eV/atom

Cell lengths 3.658, 3.658, 4.116 Å; angles 90.00, 90.00, 90.00 degrees
Space group P4/mmm (No. 123)
Unique sites:
Mn: 0.000 0.500 0.000 x2
Al: 0.000 0.000 0.500 x1
Tc: 0.500 0.500 0.500 x1
H: 0.000 0.000 0.000 x1

=====

Record 2
AcTb14Pm | GGA-PBE | optimized geometry

Results
VASP energy ... -4.5788 eV/atom

Cell lengths 11.476, 7.326, 12.655 Å; angles 90.00, 90.00, 90.00 degrees
Space group Amm2 (No. 38)
Unique sites:
Ac: 0.000 0.000 0.000 x2
Tb: 0.000 0.249 0.252 x4
Tb: 0.251 0.000 0.668 x4
Tb: 0.254 0.000 0.170 x4
Tb: 0.256 0.248 0.418 x8
Tb: 0.500 0.000 0.001 x2
Tb: 0.500 0.000 0.501 x2
Tb: 0.500 0.250 0.251 x4
Pm: 0.000 0.000 0.500 x2

=====

Record 3
NdGdPdPb | GGA-PBE | optimized geometry

Results
VASP energy ... -7.5298 eV/atom

Cell lengths 7.521, 7.521, 7.521 Å; angles 90.00, 90.00, 90.00 degrees
Space group F-43m (No. 216)
Unique sites:
Nd: 0.000 0.000 0.000 x4
Gd: 0.000 0.000 0.500 x4
Pd: 0.250 0.250 0.750 x4
Pb: 0.250 0.250 0.250 x4

=====

Look up the VASP energy of the third one. -7.5298 eV/atom